BaBeAg after structural relaxation, computed with PBE-GGA.

volume = 35.340 Å³ per atom
energy = -1.979 eV per atom

Unit cell a=5.313 b=5.313 c=5.313 alpha=60.00 beta=60.00 gamma=60.00
Sites, in units of the cell vectors:
Be1 0.750 0.750 0.750
Ag1 0.250 0.250 0.250
Ba1 0.000 0.000 0.000

***

LiB4Os after structural relaxation, computed with PBE-GGA.

volume = 9.310 Å³ per atom
ΔE to the lowest computed polymorph = 0.0 meV per atom

Unit cell a=5.850 b=11.268 c=3.389 alpha=90.00 beta=90.00 gamma=90.00
Sites, in units of the cell vectors:
Li1 0.119 0.654 0.000
Li2 0.881 0.346 0.000
Li3 0.381 0.154 0.000
Li4 0.619 0.846 0.000
B1 0.203 0.313 0.500
B2 0.515 0.302 0.500
B3 0.703 0.187 0.500
B4 0.620 0.448 0.500
B5 0.880 0.948 0.500
B6 0.380 0.552 0.500
B7 0.015 0.198 0.500
B8 0.985 0.802 0.500
B9 0.797 0.687 0.500
B10 0.371 0.969 0.500
B11 0.871 0.531 0.500
B12 0.120 0.052 0.500
B13 0.297 0.813 0.500
B14 0.629 0.031 0.500
B15 0.129 0.469 0.500
B16 0.485 0.698 0.500
Os1 0.135 0.914 0.000
Os2 0.865 0.086 0.000
Os3 0.635 0.586 0.000
Os4 0.365 0.414 0.000

***

GdOsNO after structural relaxation, computed with PBE-GGA.

volume = 13.969 Å³ per atom
ΔE to the lowest computed polymorph = 171.7 meV per atom

Unit cell a=3.823 b=3.823 c=7.647 alpha=90.00 beta=90.00 gamma=90.00
Sites, in units of the cell vectors:
Os1 0.750 0.250 0.500
Os2 0.250 0.750 0.500
O1 0.750 0.250 0.000
O2 0.250 0.750 0.000
N1 0.250 0.250 0.623
N2 0.750 0.750 0.377
Gd1 0.750 0.750 0.848
Gd2 0.250 0.250 0.152

***

ZnCoCuBi after structural relaxation, computed with PBE-GGA.

volume = 16.464 Å³ per atom
ΔE to the lowest computed polymorph = 187.6 meV per atom

Unit cell a=4.533 b=4.533 c=4.533 alpha=60.00 beta=60.00 gamma=60.00
Sites, in units of the cell vectors:
Cu1 0.250 0.250 0.250
Co1 0.500 0.500 0.500
Bi1 0.000 0.000 0.000
Zn1 0.750 0.750 0.750

***

SrLaCuSi3 after structural relaxation, computed with PBE-GGA.

volume = 21.805 Å³ per atom
ΔE to the lowest computed polymorph = 0.0 meV per atom

Unit cell a=8.417 b=8.218 c=6.073 alpha=70.35 beta=66.85 gamma=42.81
Sites, in units of the cell vectors:
Sr1 0.250 0.250 0.250
Sr2 0.750 0.750 0.750
Cu1 0.834 0.834 0.166
Cu2 0.166 0.166 0.834
Si1 0.670 0.164 0.330
Si2 0.330 0.836 0.670
Si3 0.333 0.333 0.667
Si4 0.164 0.670 0.836
Si5 0.836 0.330 0.164
Si6 0.667 0.667 0.333
La1 0.257 0.743 0.257
La2 0.743 0.257 0.743

***

CdSnTeO after structural relaxation, computed with PBE-GGA.

volume = 24.618 Å³ per atom
ΔE to the lowest computed polymorph = 102.0 meV per atom

Unit cell a=6.496 b=4.122 c=14.710 alpha=90.00 beta=90.00 gamma=90.00
Sites, in units of the cell vectors:
O1 0.227 0.750 0.667
O2 0.273 0.250 0.167
O3 0.773 0.250 0.333
O4 0.727 0.750 0.833
Cd1 0.109 0.250 0.297
Cd2 0.391 0.750 0.797
Cd3 0.891 0.750 0.703
Cd4 0.609 0.250 0.203
Te1 0.728 0.250 0.591
Te2 0.272 0.750 0.409
Te3 0.772 0.750 0.091
Te4 0.228 0.250 0.909
Sn1 0.251 0.750 0.089
Sn2 0.751 0.750 0.411
Sn3 0.249 0.250 0.589
Sn4 0.749 0.250 0.911

***

LiZrB4 after structural relaxation, computed with PBE-GGA.

volume = 9.807 Å³ per atom
ΔE to the lowest computed polymorph = 0.0 meV per atom

Unit cell a=4.720 b=4.720 c=4.720 alpha=141.60 beta=112.11 gamma=80.79
Sites, in units of the cell vectors:
B1 0.918 0.242 0.676
B2 0.566 0.242 0.324
B3 0.082 0.758 0.324
B4 0.434 0.758 0.676
Li1 0.000 0.000 0.000
Zr1 0.500 0.500 0.000

***

Zn2Ge2AsP3 after structural relaxation, computed with PBE-GGA.

volume = 21.141 Å³ per atom
energy = -4.277 eV per atom

Unit cell a=6.728 b=6.728 c=5.565 alpha=114.18 beta=114.18 gamma=48.75
Sites, in units of the cell vectors:
Ge1 0.491 0.255 0.617
Ge2 0.745 0.509 0.383
P1 0.624 0.876 0.254
P2 0.124 0.376 0.746
P3 0.375 0.625 0.500
Zn1 0.004 0.739 0.129
Zn2 0.261 0.996 0.871
As1 0.876 0.124 0.000

***

Dy3Cd3In2Ga after structural relaxation, computed with PBE-GGA.

volume = 24.285 Å³ per atom
energy = -3.203 eV per atom

Unit cell a=7.476 b=7.476 c=4.516 alpha=90.00 beta=90.00 gamma=120.00
Sites, in units of the cell vectors:
Cd1 0.000 0.758 0.500
Cd2 0.242 0.242 0.500
Cd3 0.758 0.000 0.500
Dy1 0.584 0.584 0.000
Dy2 0.000 0.416 0.000
Dy3 0.416 0.000 0.000
In1 0.333 0.667 0.500
In2 0.667 0.333 0.500
Ga1 0.000 0.000 0.000

***

LiZrPbAu after structural relaxation, computed with PBE-GGA.

volume = 20.502 Å³ per atom
ΔE to the lowest computed polymorph = 0.0 meV per atom

Unit cell a=4.877 b=4.877 c=4.877 alpha=60.00 beta=60.00 gamma=60.00
Sites, in units of the cell vectors:
Li1 0.750 0.750 0.750
Pb1 0.500 0.500 0.500
Zr1 0.250 0.250 0.250
Au1 0.000 0.000 0.000